# ThNpAl4

A relaxed structure of ThNpAl4 (PBE-GGA, the Alexandria database).

Values from the calculation:
Formation enthalpy at 0 K = -0.2607 eV/atom
DFT total energy = -6.149 eV per atom

abc: 5.5784 5.5784 5.5784
angles: 60.00 60.00 60.00
Last column: magnetic moment on the atom in μB.
Positions (direct):
1 Np 0.2500 0.2500 0.2500  4.05
2 Al 0.6244 0.6244 0.1268  -0.01
3 Al 0.6244 0.1268 0.6244  -0.01
4 Al 0.6244 0.6244 0.6244  -0.01
5 Al 0.1268 0.6244 0.6244  -0.01
6 Th 0.0000 0.0000 0.0000  0.25